(1)
An optimized crystal structure of ScRhPb2, computed with PBE.

Summary:
As for the space-group type: P2/m. The total DFT energy (no corrections) is -5.409 eV/atom. The calculation puts the total moment at 0.00 μB/f.u. The energy relative to the elements comes out at -0.5 eV per formula unit.

Cell lengths 3.389, 4.531, 5.906 Å; angles 90.00, 97.90, 90.00 degrees
Sites, in units of the cell vectors:
Sc  0.000  0.000  0.000
Rh  0.500  0.000  0.500
Pb  0.321  0.500  0.739
Pb  0.679  0.500  0.261

=====

(2)
An optimized crystal structure of BW, computed with PBE.

Summary:
As for the space-group type: I4_1/amd. For the distance to the lowest polymorph of the same formula, the calculation gives 0.0000 eV per atom. The total DFT energy (no corrections) is -10.184 eV/atom. The calculation puts the total moment at 0.00 μB/f.u. The energy relative to the elements comes out at -0.7 eV per formula unit.

Cell lengths 8.795, 8.795, 8.795 Å; angles 159.38, 159.38, 29.32 degrees
Sites, in units of the cell vectors:
B  0.031  0.281  0.750
B  0.281  0.031  0.250
B  0.719  0.969  0.750
B  0.969  0.719  0.250
W  0.178  0.428  0.750
W  0.428  0.178  0.250
W  0.572  0.822  0.750
W  0.822  0.572  0.250

=====

(3)
An optimized crystal structure of SbW2Au, computed with PBE.

Summary:
As for the space-group type: C2/m. The total DFT energy (no corrections) is -7.603 eV/atom. The calculation puts the total moment at 0.00 μB/f.u.

Cell lengths 5.360, 5.360, 2.932 Å; angles 99.11, 99.11, 116.46 degrees
Sites, in units of the cell vectors:
Sb  0.000  0.000  0.000
W  0.000  0.500  0.500
W  0.500  0.000  0.500
Au  0.500  0.500  0.000

=====

(4)
An optimized crystal structure of ZnO, computed with PBE.

Summary:
As for the space-group type: P6_3mc. The total DFT energy (no corrections) is -4.550 eV/atom. The calculation puts the total moment at 0.00 μB/f.u.

Cell lengths 3.288, 3.288, 5.305 Å; angles 90.00, 90.00, 120.00 degrees
Sites, in units of the cell vectors:
Zn  0.333  0.667  0.000
Zn  0.667  0.333  0.500
O  0.333  0.667  0.621
O  0.667  0.333  0.121

=====

(5)
An optimized crystal structure of La4Ho2Th, computed with PBE.

Summary:
As for the space-group type: P4/mmm. For the distance to the lowest polymorph of the same formula, the calculation gives 0.2037 eV per atom. The total DFT energy (no corrections) is -4.894 eV/atom. The calculation puts the total moment at 0.00 μB/f.u. The energy relative to the elements comes out at 2.0 eV per formula unit.

Cell lengths 8.323, 8.323, 3.547 Å; angles 90.00, 90.00, 90.00 degrees
Sites, in units of the cell vectors:
La  0.210  0.210  0.000
La  0.210  0.790  0.000
La  0.790  0.210  0.000
La  0.790  0.790  0.000
Ho  0.000  0.500  0.500
Ho  0.500  0.000  0.500
Th  0.500  0.500  0.000

=====

(6)
An optimized crystal structure of Ca4Hg3Au5, computed with PBE.

Summary:
As for the space-group type: P-1. The total DFT energy (no corrections) is -2.686 eV/atom. The calculation puts the total moment at 0.00 μB/f.u. The energy relative to the elements comes out at -6.9 eV per formula unit.

Cell lengths 6.049, 6.337, 7.997 Å; angles 77.12, 77.47, 83.06 degrees
Sites, in units of the cell vectors:
Ca  0.153  0.176  0.299
Ca  0.303  0.323  0.700
Ca  0.697  0.677  0.300
Ca  0.847  0.824  0.701
Hg  0.252  0.591  0.997
Hg  0.500  0.000  0.000
Hg  0.748  0.409  0.003
Au  0.000  0.000  0.000
Au  0.169  0.647  0.383
Au  0.363  0.837  0.614
Au  0.637  0.163  0.386
Au  0.831  0.353  0.617

=====

(7)
An optimized crystal structure of NaGa3Au5, computed with PBE.

Summary:
As for the space-group type: Cmcm. The total DFT energy (no corrections) is -3.186 eV/atom. The calculation puts the total moment at 0.00 μB/f.u. The energy relative to the elements comes out at -1.9 eV per formula unit.

Cell lengths 7.152, 7.152, 13.423 Å; angles 90.00, 90.00, 148.36 degrees
Sites, in units of the cell vectors:
Na  0.187  0.813  0.750
Na  0.813  0.187  0.250
Ga  0.037  0.963  0.250
Ga  0.335  0.665  0.502
Ga  0.335  0.665  0.998
Ga  0.665  0.335  0.002
Ga  0.665  0.335  0.498
Ga  0.963  0.037  0.750
Au  0.000  0.000  0.000
Au  0.000  0.000  0.500
Au  0.189  0.811  0.135
Au  0.189  0.811  0.365
Au  0.459  0.541  0.145
Au  0.459  0.541  0.355
Au  0.541  0.459  0.645
Au  0.541  0.459  0.855
Au  0.811  0.189  0.635
Au  0.811  0.189  0.865

=====

(8)
An optimized crystal structure of ZrSc3Se, computed with PBE.

Summary:
As for the space-group type: Pm-3m. For the distance to the lowest polymorph of the same formula, the calculation gives 0.8777 eV per atom. The total DFT energy (no corrections) is -5.576 eV/atom. The calculation puts the total moment at 0.00 μB/f.u.

Cell lengths 5.172, 5.172, 5.172 Å; angles 90.00, 90.00, 90.00 degrees
Sites, in units of the cell vectors:
Zr  0.000  0.000  0.000
Sc  0.000  0.000  0.500
Sc  0.000  0.500  0.000
Sc  0.500  0.000  0.000
Se  0.500  0.500  0.500

=====

(9)
An optimized crystal structure of TiCoHg2Bi, computed with PBE.

Summary:
As for the space-group type: P4/mmm. The total DFT energy (no corrections) is -2.448 eV/atom. The calculation puts the total moment at 2.52 μB/f.u. The energy relative to the elements comes out at 7.2 eV per formula unit.

Cell lengths 5.664, 5.664, 5.356 Å; angles 90.00, 90.00, 90.00 degrees
Sites, in units of the cell vectors:
Ti  0.000  0.000  0.000
Co  0.500  0.500  0.000
Hg  0.000  0.500  0.500
Hg  0.500  0.000  0.500
Bi  0.000  0.000  0.500

=====

(10)
An optimized crystal structure of ZrCrSi2, computed with PBE.

Summary:
As for the space-group type: P4/mmm. For the distance to the lowest polymorph of the same formula, the calculation gives 0.3965 eV per atom. The total DFT energy (no corrections) is -7.485 eV/atom. The calculation puts the total moment at 2.32 μB/f.u.

Cell lengths 3.986, 3.986, 3.866 Å; angles 90.00, 90.00, 90.00 degrees
Sites, in units of the cell vectors:
Zr  0.000  0.000  0.000
Cr  0.500  0.500  0.000
Si  0.000  0.500  0.500
Si  0.500  0.000  0.500

=====

(11)
An optimized crystal structure of Ni2PdN, computed with PBE.

Summary:
As for the space-group type: R-3m. The total DFT energy (no corrections) is -5.889 eV/atom. The calculation puts the total moment at 0.00 μB/f.u.

Cell lengths 7.409, 7.409, 7.409 Å; angles 21.45, 21.45, 21.45 degrees
Sites, in units of the cell vectors:
Ni  0.117  0.117  0.117
Ni  0.883  0.883  0.883
Pd  0.000  0.000  0.000
N  0.500  0.500  0.500

=====

(12)
An optimized crystal structure of InPtF2, computed with PBE.

Summary:
As for the space-group type: R-3m. For the distance to the lowest polymorph of the same formula, the calculation gives 0.0000 eV per atom. The total DFT energy (no corrections) is -4.192 eV/atom. The calculation puts the total moment at 0.00 μB/f.u.

Cell lengths 8.215, 8.215, 8.215 Å; angles 20.73, 20.73, 20.73 degrees
Sites, in units of the cell vectors:
In  0.000  0.000  0.000
Pt  0.500  0.500  0.500
F  0.416  0.416  0.416
F  0.584  0.584  0.584

=====

(13)
An optimized crystal structure of Li3ICl, computed with PBE.

Summary:
As for the space-group type: Pm-3m. For the distance to the lowest polymorph of the same formula, the calculation gives 0.0000 eV per atom. The total DFT energy (no corrections) is -2.724 eV/atom. The calculation puts the total moment at 0.00 μB/f.u.

Cell lengths 4.937, 4.937, 4.937 Å; angles 90.00, 90.00, 90.00 degrees
Sites, in units of the cell vectors:
Li  0.000  0.000  0.500
Li  0.000  0.500  0.000
Li  0.500  0.000  0.000
I  0.500  0.500  0.500
Cl  0.000  0.000  0.000